DFT (GGA-PBE) results for a relaxed CdHPt3 crystal.

abc: 5.013 5.013 7.083
angles: 116.52 116.52 70.05
Positions (direct):
1 Cd 0.134 0.134 0.260
2 Cd 0.866 0.866 0.740
3 H 0.144 0.144 0.661
4 H 0.856 0.856 0.339
5 Pt 0.000 0.500 0.000
6 Pt 0.260 0.740 0.500
7 Pt 0.394 0.394 0.769
8 Pt 0.500 0.000 0.000
9 Pt 0.606 0.606 0.231
10 Pt 0.740 0.260 0.500

theoretical density: 16.545 g/cm³
calculated total energy: -45.91 eV per cell
polymorph energy (0 for the lowest one): 33.6 meV/atom